# 1
Here is a relaxed structure of Pm2TiZn2Pd5 from Alexandria via LeMat-Bulk. Energies are from PBE.

```
20
Lattice="9.895 0.000 0.000 0.000 9.895 0.000 0.000 0.000 3.743" Properties=species:S:1:pos:R:3 pbc="T T T"
Pm 1.744 3.203 0.000
Pm 3.203 8.150 0.000
Pm 6.692 1.744 0.000
Pm 8.150 6.692 0.000
Ti 0.000 0.000 0.000
Ti 4.947 4.947 0.000
Zn 1.207 6.154 0.000
Zn 3.740 1.207 0.000
Zn 6.154 8.688 0.000
Zn 8.688 3.740 0.000
Pd 0.000 4.947 1.871
Pd 0.596 7.918 1.871
Pd 1.977 0.596 1.871
Pd 2.970 5.543 1.871
Pd 4.352 2.970 1.871
Pd 4.947 0.000 1.871
Pd 5.543 6.924 1.871
Pd 6.924 4.352 1.871
Pd 7.918 9.299 1.871
Pd 9.299 1.977 1.871
```

Summary:
- calculated density (g/cm³) = 9.07
- symmetry = No. 127
- energy (Ry per atom) = -0.384
- size of the total moment (μB per formula unit) = 0.00
- energy of formation from the pure elements (eV/atom) = -0.64

=====

# 2
Here is a relaxed structure of Pm12TlPd6 from Alexandria via LeMat-Bulk. Energies are from PBE.

```
19
Lattice="-5.125 5.125 5.125 5.125 -5.125 5.125 5.125 5.125 -5.125" Properties=species:S:1:pos:R:3 pbc="T T T"
Pm 5.125 3.238 -2.058
Pm 3.068 0.000 1.887
Pm 7.183 0.000 1.887
Pm 1.887 3.068 0.000
Pm 3.238 -2.058 5.125
Pm 0.000 1.887 3.068
Pm 5.125 3.238 2.058
Pm 1.887 7.183 0.000
Pm 3.238 2.058 5.125
Pm -2.058 5.125 3.238
Pm 2.058 5.125 3.238
Pm 0.000 1.887 7.183
Tl 0.000 0.000 0.000
Pd 5.125 1.372 0.000
Pd 5.125 0.000 3.753
Pd 3.753 5.125 0.000
Pd 1.372 0.000 5.125
Pd 0.000 5.125 1.372
Pd 0.000 3.753 5.125
```

Summary:
- calculated density (g/cm³) = 7.96
- symmetry = No. 204
- energy (Ry per atom) = -0.390
- size of the total moment (μB per formula unit) = 0.00
- energy of formation from the pure elements (eV/atom) = -0.55

=====

# 3
Here is a relaxed structure of PmTl2Pd from Alexandria via LeMat-Bulk. Energies are from PBE.

```
4
Lattice="0.000 3.615 3.615 3.615 0.000 3.615 3.615 3.615 0.000" Properties=species:S:1:pos:R:3 pbc="T T T"
Pm 0.000 0.000 0.000
Tl 1.808 1.808 1.808
Tl 5.423 5.423 5.423
Pd 3.615 3.615 3.615
```

Summary:
- calculated density (g/cm³) = 11.60
- symmetry = No. 225
- energy (Ry per atom) = -0.293
- size of the total moment (μB per formula unit) = 0.00
- energy of formation from the pure elements (eV/atom) = -0.32

=====

# 4
Here is a relaxed structure of PmTl3Pd3 from Alexandria via LeMat-Bulk. Energies are from PBE.

```
14
Lattice="7.415 0.000 0.000 0.000 7.415 0.000 0.000 0.000 7.415" Properties=species:S:1:pos:R:3 pbc="T T T"
Pm 0.000 0.000 0.000
Pm 3.707 3.707 3.707
Tl 0.000 1.854 3.707
Tl 0.000 5.561 3.707
Tl 1.854 3.707 0.000
Tl 3.707 0.000 1.854
Tl 3.707 0.000 5.561
Tl 5.561 3.707 0.000
Pd 0.000 3.707 1.854
Pd 0.000 3.707 5.561
Pd 1.854 0.000 3.707
Pd 3.707 1.854 0.000
Pd 3.707 5.561 0.000
Pd 5.561 0.000 3.707
```

Summary:
- calculated density (g/cm³) = 8.78
- symmetry = No. 223
- energy (Ry per atom) = -0.272
- size of the total moment (μB per formula unit) = 0.00
- energy of formation from the pure elements (eV/atom) = 0.22

=====

# 5
Here is a relaxed structure of Pm3TlPd from Alexandria via LeMat-Bulk. Energies are from PBE.

```
15
Lattice="7.471 0.000 0.000 0.000 7.471 0.000 0.000 0.000 7.471" Properties=species:S:1:pos:R:3 pbc="T T T"
Pm 0.000 0.000 0.000
Pm 2.003 2.003 2.003
Pm 2.003 2.003 5.468
Pm 2.003 5.468 2.003
Pm 2.003 5.468 5.468
Pm 5.468 2.003 2.003
Pm 5.468 2.003 5.468
Pm 5.468 5.468 2.003
Pm 5.468 5.468 5.468
Tl 0.000 0.000 3.735
Tl 0.000 3.735 0.000
Tl 3.735 0.000 0.000
Pd 0.000 3.735 3.735
Pd 3.735 0.000 3.735
Pd 3.735 3.735 0.000
```

Summary:
- calculated density (g/cm³) = 8.91
- symmetry = No. 221
- energy (Ry per atom) = -0.348
- size of the total moment (μB per formula unit) = 0.50
- energy of formation from the pure elements (eV/atom) = -0.37

=====

# 6
Here is a relaxed structure of PmTlPd4 from Alexandria via LeMat-Bulk. Energies are from PBE.

```
6
Lattice="0.000 3.852 3.852 3.852 0.000 3.852 3.852 3.852 0.000" Properties=species:S:1:pos:R:3 pbc="T T T"
Pm 0.000 0.000 0.000
Tl 1.926 1.926 1.926
Pd 4.813 2.892 2.892
Pd 2.892 4.813 2.892
Pd 2.892 2.892 4.813
Pd 4.813 4.813 4.813
```

Summary:
- calculated density (g/cm³) = 11.26
- symmetry = No. 216
- energy (Ry per atom) = -0.385
- size of the total moment (μB per formula unit) = 0.00
- energy of formation from the pure elements (eV/atom) = -0.59